ScCd2Pb, single point on PBEsol structure, DFT meta-GGA SCAN; E_tot = -151.72 eV/f.u.; crystal system = orthorhombic; energy relative to the elements = -0.22 eV per atom
1.0
-3.4142 0.0167 -0.3139
0.4742 -1.2428 -5.2247
-0.3122 -4.3544 3.1635
Cd Pb Sc
2 1 1
direct
0.0000 0.0000 0.5000
0.0000 0.5000 0.0000
0.5000 0.5000 0.5000
0.5000 0.0000 0.0000

=====

Sc2CdPb, single point on PBEsol structure, DFT meta-GGA SCAN; E_tot = -136.59 eV/f.u.; crystal system = orthorhombic; energy relative to the elements = -0.48 eV per atom
1.0
-1.8738 2.1315 -1.5180
-0.1930 -3.1931 -4.2455
-4.1194 -1.4698 3.0211
Sc Pb Cd
2 1 1
direct
0.0000 0.5000 0.0000
0.0000 0.0000 0.5000
0.5000 0.5000 0.5000
0.5000 0.0000 0.0000

=====

no.,calculated volume (Å³/cell)
1,92
2,88